Record 1
# HoTlSe4

A relaxed structure of HoTlSe4 (PBE-GGA, Alexandria via LeMat-Bulk).

Geometry as POSCAR:
```
HoTlSe4
1.0
-3.054 -0.953 5.366
5.445 -0.805 2.956
0.323 8.218 1.643
Ho Tl Se
2 2 8
direct
0.500 0.500 0.000
0.000 0.000 0.000
0.500 0.500 0.500
0.000 0.000 0.500
0.638 0.862 0.206
0.138 0.638 0.206
0.862 0.362 0.206
0.638 0.138 0.794
0.362 0.862 0.794
0.362 0.138 0.206
0.862 0.638 0.794
0.138 0.362 0.794
```

Properties
formation energy from raw total energies = -0.90 eV/atom
magnetization = 0.00 μB/f.u.
raw total energy = -26.29 eV per formula unit
V = 27.278 Å³/atom

Record 2
# Ho6TlSe5

A relaxed structure of Ho6TlSe5 (PBE-GGA, Alexandria via LeMat-Bulk).

Geometry as POSCAR:
```
Ho6TlSe5
1.0
-1.171 -2.689 6.499
5.764 1.111 4.082
0.551 5.965 3.860
Tl Ho Se
1 6 5
direct
0.000 0.000 0.000
0.747 0.084 0.339
0.253 0.577 0.339
0.251 0.255 0.000
0.749 0.745 0.000
0.747 0.423 0.661
0.253 0.916 0.661
0.500 0.165 0.669
0.000 0.333 0.334
0.500 0.500 0.000
0.000 0.667 0.666
0.500 0.835 0.331
```

Properties
formation energy from raw total energies = -1.49 eV/atom
magnetization = 0.00 μB/f.u.
raw total energy = -65.11 eV per formula unit
density of states at the Fermi level = 0.49 states/eV/atom
V = 24.730 Å³/atom

Q: What is the formula in the first record?
A: HoTlSe4

Q: Which value of raw total energy does entry 2 give?
A: -65.11 eV per formula unit

Q: What is the V in the second record?
A: 24.730 Å³/atom

Copy entry 1 word for word.
# HoTlSe4

A relaxed structure of HoTlSe4 (PBE-GGA, Alexandria via LeMat-Bulk).

Geometry as POSCAR:
```
HoTlSe4
1.0
-3.054 -0.953 5.366
5.445 -0.805 2.956
0.323 8.218 1.643
Ho Tl Se
2 2 8
direct
0.500 0.500 0.000
0.000 0.000 0.000
0.500 0.500 0.500
0.000 0.000 0.500
0.638 0.862 0.206
0.138 0.638 0.206
0.862 0.362 0.206
0.638 0.138 0.794
0.362 0.862 0.794
0.362 0.138 0.206
0.862 0.638 0.794
0.138 0.362 0.794
```

Properties
formation energy from raw total energies = -0.90 eV/atom
magnetization = 0.00 μB/f.u.
raw total energy = -26.29 eV per formula unit
V = 27.278 Å³/atom